First-principles (PBE+U) data for a relaxed structure of Li2MnRuF, as listed in Alexandria via LeMat-Bulk.

Calculated total energy: -4.234 eV/atom
Density of states at the Fermi level: 3.17 states/eV/cell
Calculated density: 3.30 g/cm³

a b c (Å): 4.8649 4.8649 4.0117
angles (deg): 90.00 90.00 90.00
Last column: nearest neighbours and their distance in Å.
Atoms (fractional coordinates):
1 Li 0.0000 0.5000 0.0000  2 Ru 2.43
2 Li 0.5000 0.0000 0.0000  2 Ru 2.43
3 Mn 0.0000 0.0000 0.5000  8 Li 3.15, 4 F 3.44
4 Ru 0.5000 0.5000 0.0000  2 F 2.01
5 F 0.5000 0.5000 0.5000  2 Ru 2.01